Compound: NbSO2F
Source: Alexandria via LeMat-Bulk
Functional: PBEsol
Structure: optimized geometry

The structure in CIF format:
```
data_NbSO2F
_chemical_formula_sum 'Nb1 S1 O2 F1'
_space_group_name_H-M_alt 'P 4/m m m'
_space_group_IT_number 123
_space_group_name_Hall '-P 4 2'
_cell_length_a 3.582
_cell_length_b 3.582
_cell_length_c 4.911
_cell_angle_alpha 90.00
_cell_angle_beta 90.00
_cell_angle_gamma 90.00
loop_
_atom_site_label
_atom_site_fract_x
_atom_site_fract_y
_atom_site_fract_z
Nb1 0.000 0.000 0.000
S1 0.500 0.500 0.500
O1 0.000 0.500 0.500
F1 0.500 0.500 0.000
```

Summary:
raw formation energy = 25 meV per atom


Compound: Sc2NbOF
Source: Alexandria via LeMat-Bulk
Functional: PBEsol
Structure: optimized geometry

The structure in CIF format:
```
data_Sc2NbOF
_chemical_formula_sum 'Sc2 Nb1 O1 F1'
_space_group_name_H-M_alt 'P 4/m m m'
_space_group_IT_number 123
_space_group_name_Hall '-P 4 2'
_cell_length_a 5.176
_cell_length_b 5.176
_cell_length_c 3.953
_cell_angle_alpha 90.00
_cell_angle_beta 90.00
_cell_angle_gamma 90.00
loop_
_atom_site_label
_atom_site_fract_x
_atom_site_fract_y
_atom_site_fract_z
Sc1 0.000 0.500 0.000
Nb1 0.000 0.000 0.000
O1 0.000 0.000 0.500
F1 0.500 0.500 0.500
```

Summary:
raw formation energy = -420 meV per atom


Compound: NbSeOF2
Source: Alexandria via LeMat-Bulk
Functional: PBEsol
Structure: optimized geometry

The structure in CIF format:
```
data_NbSeOF2
_chemical_formula_sum 'Nb1 Se1 O1 F2'
_space_group_name_H-M_alt 'P 4/m m m'
_space_group_IT_number 123
_space_group_name_Hall '-P 4 2'
_cell_length_a 4.237
_cell_length_b 4.237
_cell_length_c 3.930
_cell_angle_alpha 90.00
_cell_angle_beta 90.00
_cell_angle_gamma 90.00
loop_
_atom_site_label
_atom_site_fract_x
_atom_site_fract_y
_atom_site_fract_z
Nb1 0.000 0.000 0.000
Se1 0.500 0.500 0.500
O1 0.000 0.000 0.500
F1 0.000 0.500 0.000
```

Summary:
raw formation energy = -1481 meV per atom
energy above the lowest structure with this stoichiometry = 0.00 eV per formula unit


Compound: NbSeOF2
Source: Alexandria via LeMat-Bulk
Functional: PBEsol
Structure: optimized geometry

The structure in CIF format:
```
data_NbSeOF2
_chemical_formula_sum 'Nb1 Se1 O1 F2'
_space_group_name_H-M_alt 'P 4/m m m'
_space_group_IT_number 123
_space_group_name_Hall '-P 4 2'
_cell_length_a 4.512
_cell_length_b 4.512
_cell_length_c 3.778
_cell_angle_alpha 90.00
_cell_angle_beta 90.00
_cell_angle_gamma 90.00
loop_
_atom_site_label
_atom_site_fract_x
_atom_site_fract_y
_atom_site_fract_z
Nb1 0.000 0.000 0.000
Se1 0.500 0.500 0.500
O1 0.500 0.500 0.000
F1 0.000 0.500 0.500
```

Summary:
raw formation energy = -9 meV per atom
energy above the lowest structure with this stoichiometry = 7.36 eV per formula unit


Compound: SrNbO2F
Source: Alexandria via LeMat-Bulk
Functional: PBEsol
Structure: optimized geometry

The structure in CIF format:
```
data_SrNbO2F
_chemical_formula_sum 'Sr1 Nb1 O2 F1'
_space_group_name_H-M_alt 'P 4/m m m'
_space_group_IT_number 123
_space_group_name_Hall '-P 4 2'
_cell_length_a 4.529
_cell_length_b 4.529
_cell_length_c 4.279
_cell_angle_alpha 90.00
_cell_angle_beta 90.00
_cell_angle_gamma 90.00
loop_
_atom_site_label
_atom_site_fract_x
_atom_site_fract_y
_atom_site_fract_z
Sr1 0.000 0.000 0.000
Nb1 0.500 0.500 0.500
O1 0.000 0.500 0.000
F1 0.000 0.000 0.500
```

Summary:
raw formation energy = -630 meV per atom


Compound: TiNbTlO4F2
Source: Alexandria via LeMat-Bulk
Functional: PBEsol
Structure: optimized geometry

The structure in CIF format:
```
data_TiNbTlO4F2
_chemical_formula_sum 'Ti4 Nb4 Tl4 O16 F8'
_space_group_name_H-M_alt 'C 1 c 1'
_space_group_IT_number 9
_cell_length_a 10.270
_cell_length_b 10.280
_cell_length_c 7.454
_cell_angle_alpha 90.00
_cell_angle_beta 133.53
_cell_angle_gamma 90.00
loop_
_space_group_symop_operation_xyz
'x,y,z'
'x,-y,z+1/2'
'x+1/2,y+1/2,z'
'x+1/2,-y+1/2,z+1/2'
loop_
_atom_site_label
_atom_site_fract_x
_atom_site_fract_y
_atom_site_fract_z
Ti1 0.000 0.006 0.000
Nb1 0.250 0.263 0.016
Tl1 0.460 0.083 0.602
O1 0.011 0.322 0.774
O2 0.192 0.117 0.127
O3 0.323 0.378 0.277
O4 0.348 0.371 0.922
F1 0.014 0.065 0.267
F2 0.207 0.121 0.772
```

Summary:
raw formation energy = -2587 meV per atom